The following is a DFT calculation (PBE) of a geometry-optimized Ce7Si5As structure.

Cell and atoms, written as POSCAR:
```
Ce7Si5As
1.0
-0.051 5.914 -1.020
-2.285 4.114 6.314
7.008 3.335 1.333
Ce Si As
7 5 1
direct
0.675 0.325 0.325
0.265 0.735 0.735
0.972 0.320 0.736
0.972 0.736 0.320
0.323 0.177 0.177
0.537 0.799 0.128
0.537 0.128 0.799
0.445 0.019 0.497
0.039 0.019 0.497
0.445 0.497 0.019
0.039 0.497 0.019
0.777 0.723 0.723
0.975 0.025 0.025
```

Formation energy without anion corrections in eV per formula unit: -6.600
Total moment in μB per formula unit: 4.5